Compound: ReSi3C
Source: the Alexandria database
Functional: PBEsol
Structure: relaxed

abc: 4.619 4.619 4.619
angles: 90.00 90.00 90.00
Last column: magnetic moment on the atom in μB.
Element x y z (fractional)
Re: 0.000 0.000 0.000  0.34
Si: 0.000 0.500 0.000  0.04
Si: 0.500 0.000 0.000  0.04
C: 0.500 0.500 0.500  1.02
Si: 0.000 0.000 0.500  0.04

Properties
Spin magnetization   2.90 μB/cell
Space-group type   Pm-3m
Formation energy without anion corrections   1590 meV/atom
Raw total energy   -0.2372 Ha/atom